HoTm2Sn3IrPd2 PBE optimized geometry; DFT total energy = -52.98 eV/f.u.; total magnetic moment = 0.01 μB/f.u.; space-group type = No. 38
1.0
3.820 0.000 0.000
0.000 6.592 3.802
0.000 -6.592 3.802
Ho Tm Sn Ir Pd
1 2 3 1 2
Cartesian
0.000 0.000 0.000
0.000 -2.624 4.546
0.000 2.624 4.546
1.910 -1.729 2.038
1.910 1.729 2.038
1.910 0.000 5.029
0.000 0.000 3.042
1.910 -4.380 3.029
1.910 4.380 3.029


Lu2Zr4Fe3C3 PBE optimized geometry; DFT total energy = -99.16 eV/f.u.; total magnetic moment = 3.68 μB/f.u.; space-group type = No. 15
1.0
4.956 -2.865 0.000
4.956 2.865 0.000
-3.539 0.000 13.722
Lu Zr Fe C
4 8 6 6
Cartesian
2.364 2.396 8.444
2.238 2.396 12.140
4.134 -2.396 1.583
4.008 -2.396 5.278
2.443 0.465 1.253
2.365 0.509 5.613
0.673 -0.465 8.114
0.595 -0.509 12.475
5.777 0.509 1.248
5.699 0.465 5.608
4.007 -0.509 8.109
3.929 -0.465 12.469
-0.354 0.890 10.284
4.071 0.769 3.431
1.416 -0.890 3.423
4.956 0.890 10.299
2.301 -0.769 10.292
6.726 -0.890 3.438
0.708 1.433 6.861
0.576 1.413 13.709
4.027 1.413 6.874
2.478 -1.433 0.000
2.345 -1.413 6.848
5.796 -1.413 0.013